No. 1
First-principles (PBE-GGA) data for a relaxed structure of PmTlSbAu, as listed in the Alexandria database.

The space group is F-43m (No. 216) and the conventional cell measures 7.586, 7.586 and 7.586 Å, with angles of 90.00, 90.00 and 90.00 degrees. The asymmetric unit holds Pm at (0.000, 0.000, 0.000), Tl at (0.000, 0.000, 0.500), Sb at (0.250, 0.250, 0.250) and Au at (0.250, 0.250, 0.750).

The calculation puts the magnetic moment at 0.0 μB per cell. The energy relative to the elements, uncorrected is -420 meV per atom. The theoretical density comes out at 10.2 g/cm³.


No. 2
First-principles (PBE-GGA) data for a relaxed structure of BiH12Rh7, as listed in the Alexandria database.

The space group is R-3 (No. 148, hexagonal axes) and the conventional cell measures 8.0135, 8.0135 and 9.3523 Å, with angles of 90.00, 90.00 and 120.00 degrees. The asymmetric unit holds Bi at (0.0000, 0.0000, 0.0000), H at (0.0003, 0.3788, 0.4447), H at (0.0272, 0.8389, 0.3809), Rh at (0.0000, 0.0000, 0.5000) and Rh at (0.0340, 0.7661, 0.7069).

The calculation puts the magnetic moment at 0.0 μB per cell. The value obtained for the total energy is -4.69 eV per atom. The theoretical density comes out at 9.0 g/cm³.


No. 3
First-principles (PBE-GGA) data for a relaxed structure of Ca2LaBe, as listed in the Alexandria database.

The space group is P4/mmm (No. 123) and the conventional cell measures 4.763, 4.763 and 5.357 Å, with angles of 90.00, 90.00 and 90.00 degrees. The asymmetric unit holds Ca at (0.000, 0.500, 0.000), La at (0.000, 0.000, 0.500) and Be at (0.500, 0.500, 0.500).

The calculation puts the magnetic moment at 0.0 μB per cell. For the calculated formation energy, the calculation gives 377 meV/atom. The theoretical density comes out at 3.1 g/cm³.


No. 4
First-principles (PBE-GGA) data for a relaxed structure of GeBSCl2, as listed in the Alexandria database.

The space group is P4/mmm (No. 123) and the conventional cell measures 4.322, 4.322 and 4.535 Å, with angles of 90.00, 90.00 and 90.00 degrees. The asymmetric unit holds Ge at (0.000, 0.000, 0.000), B at (0.500, 0.500, 0.500), S at (0.500, 0.500, 0.000) and Cl at (0.000, 0.500, 0.500).

The calculation puts the magnetic moment at 0.0 μB per cell. The energy relative to the elements, uncorrected is 373 meV per atom. The energy above the most stable polymorph in this dataset comes out at 0 kJ/mol of formula units. The theoretical density comes out at 3.7 g/cm³.


No. 5
First-principles (PBE-GGA) data for a relaxed structure of SiSb2Au, as listed in the Alexandria database.

The space group is C2/m (No. 12) and the conventional cell measures 6.945, 4.015 and 7.005 Å, with angles of 90.00, 109.39 and 90.00 degrees. The asymmetric unit holds Si at (0.000, 0.000, 0.000), Sb at (0.248, 0.500, 0.241) and Au at (0.000, 0.500, 0.500).

The calculation puts the magnetic moment at 0.0 μB per cell. The energy relative to the elements, uncorrected is 111 meV per atom. The theoretical density comes out at 8.4 g/cm³.


No. 6
First-principles (PBE-GGA) data for a relaxed structure of ScCdRh2, as listed in the Alexandria database.

The space group is Pmm2 (No. 25) and the conventional cell measures 2.995, 4.095 and 5.562 Å, with angles of 90.00, 90.00 and 90.00 degrees. The asymmetric unit holds Sc at (0.000, 0.000, 0.000), Cd at (0.500, 0.500, 0.313), Rh at (0.000, 0.000, 0.534) and Rh at (0.500, 0.500, 0.805).

The calculation puts the magnetic moment at 0.0 μB per cell. For the calculated formation energy, the calculation gives -393 meV/atom. The theoretical density comes out at 8.8 g/cm³.


No. 7
First-principles (PBE-GGA) data for a relaxed structure of SrLi2Ca, as listed in the Alexandria database.

The space group is Pm (No. 6) and the conventional cell measures 4.230, 5.193 and 6.742 Å, with angles of 90.00, 107.93 and 90.00 degrees. The asymmetric unit holds Sr at (0.000, 0.000, 0.000), Li at (0.281, 0.000, 0.552), Li at (0.410, 0.500, 0.819) and Ca at (0.702, 0.500, 0.398).

The calculation puts the magnetic moment at 0.0 μB per cell. The energy above the most stable polymorph in this dataset comes out at 6 kJ/mol of formula units. For the calculated formation energy, the calculation gives 37 meV/atom. The theoretical density comes out at 1.7 g/cm³.


No. 8
First-principles (PBE-GGA) data for a relaxed structure of ScMn2Te, as listed in the Alexandria database.

The space group is Pm (No. 6) and the conventional cell measures 3.592, 4.108 and 5.431 Å, with angles of 90.00, 104.33 and 90.00 degrees. The asymmetric unit holds Sc at (0.000, 0.000, 0.000), Mn at (0.256, 0.500, 0.637), Mn at (0.693, 0.000, 0.505) and Te at (0.567, 0.500, 0.184).

The calculation puts the magnetic moment at 6.8 μB per cell. The energy relative to the elements, uncorrected is -9 meV per atom. The theoretical density comes out at 6.0 g/cm³.


No. 9
First-principles (PBE-GGA) data for a relaxed structure of ThPtRh, as listed in the Alexandria database.

The space group is P-6m2 (No. 187) and the conventional cell measures 4.4391, 4.4391 and 3.8171 Å, with angles of 90.00, 90.00 and 120.00 degrees. The asymmetric unit holds Th at (0.0000, 0.0000, 0.0000), Pt at (0.3333, 0.6667, 0.5000) and Rh at (0.6667, 0.3333, 0.5000).

The calculation puts the magnetic moment at 0.0 μB per cell. The energy above the most stable polymorph in this dataset comes out at 57 kJ/mol of formula units. For the calculated formation energy, the calculation gives -845 meV/atom. The theoretical density comes out at 13.5 g/cm³.


No. 10
First-principles (PBE-GGA) data for a relaxed structure of ScTeO2F, as listed in the Alexandria database.

The space group is P4/mmm (No. 123) and the conventional cell measures 4.214, 4.214 and 4.720 Å, with angles of 90.00, 90.00 and 90.00 degrees. The asymmetric unit holds Sc at (0.000, 0.000, 0.000), Te at (0.500, 0.500, 0.500), O at (0.000, 0.500, 0.500) and F at (0.500, 0.500, 0.000).

The calculation puts the magnetic moment at 1.3 μB per cell. The energy relative to the elements, uncorrected is -907 meV per atom. The theoretical density comes out at 4.4 g/cm³.


No. 11
First-principles (PBE-GGA) data for a relaxed structure of InTePd5, as listed in the Alexandria database.

The space group is C2/c (No. 15) and the conventional cell measures 9.575, 8.629 and 7.448 Å, with angles of 90.00, 117.59 and 90.00 degrees. The asymmetric unit holds In at (0.000, 0.189, 0.250), Te at (0.250, 0.250, 0.000), Pd at (0.000, 0.469, 0.750), Pd at (0.162, 0.018, 0.586) and Pd at (0.174, 0.334, 0.595).

The calculation puts the magnetic moment at 0.0 μB per cell. The energy relative to the elements, uncorrected is -106 meV per atom. The theoretical density comes out at 9.4 g/cm³.


No. 12
First-principles (PBE-GGA) data for a relaxed structure of BaTaBr4, as listed in the Alexandria database.

The space group is F-43m (No. 216) and the conventional cell measures 9.154, 9.154 and 9.154 Å, with angles of 90.00, 90.00 and 90.00 degrees. The asymmetric unit holds Ba at (0.000, 0.000, 0.000), Ta at (0.250, 0.250, 0.250) and Br at (0.125, 0.125, 0.625).

The calculation puts the magnetic moment at 20.5 μB per cell. The energy relative to the elements, uncorrected is 389 meV per atom. The theoretical density comes out at 5.5 g/cm³.